The following is a DFT calculation (meta-GGA SCAN) of a PBEsol-optimized structure of KBa2Te2.

abc: 6.4106 6.4106 12.9979
angles: 90.00 90.00 90.00
Closest atoms and distances in Å follow each position.
Space group I4/mmm (No. 139)
Asymmetric unit:
K 0.0000 0.0000 0.0000 x2  2 Ba 4.22, 8 Te 4.56
Ba 0.0000 0.0000 0.3244 x4  4 Te 3.35
Te 0.0000 0.5000 0.2500 x4  4 Ba 3.35

Computed properties:
relative energy among the computed polymorphs = 0 meV per atom
formation energy without anion corrections = -1274 meV/atom